TbAl3Au3 (GGA-PBE, optimized geometry); space group = Pm-3n, No. 223; theoretical density = 8.32 g/cm³; Fermi-level density of states = 7.31 states/eV per cell; E above lowest polymorph = 0.351 eV per atom; energy of formation = -0.180 eV/atom
1.0
6.923 0.000 0.000
0.000 6.923 0.000
0.000 0.000 6.923
Tb Au Al
2 6 6
Direct
0.500 0.500 0.500 Tb
0.000 0.000 0.000 Tb
0.250 0.000 0.500 Au
0.000 0.500 0.250 Au
0.500 0.750 0.000 Au
0.750 0.000 0.500 Au
0.000 0.500 0.750 Au
0.500 0.250 0.000 Au
0.000 0.250 0.500 Al
0.000 0.750 0.500 Al
0.500 0.000 0.750 Al
0.750 0.500 0.000 Al
0.500 0.000 0.250 Al
0.250 0.500 0.000 Al



TbAl7Au3 (GGA-PBE, optimized geometry); space group = R-3c, No. 167; theoretical density = 7.78 g/cm³; Fermi-level density of states = 3.59 states/eV per cell; energy of formation = -0.518 eV/atom
1.0
8.458 -0.001 -0.001
4.576 7.113 -0.001
4.576 2.497 6.661
Tb Al Au
2 14 6
Direct
0.000 0.000 0.000 Tb
0.500 0.500 0.500 Tb
0.930 0.147 0.333 Al
0.333 0.930 0.147 Al
0.147 0.333 0.930 Al
0.570 0.167 0.353 Al
0.353 0.570 0.167 Al
0.167 0.353 0.570 Al
0.070 0.853 0.667 Al
0.667 0.070 0.853 Al
0.750 0.750 0.750 Al
0.250 0.250 0.250 Al
0.833 0.647 0.430 Al
0.647 0.430 0.833 Al
0.430 0.833 0.647 Al
0.853 0.667 0.070 Al
0.250 0.573 0.927 Au
0.927 0.250 0.573 Au
0.573 0.927 0.250 Au
0.750 0.427 0.073 Au
0.073 0.750 0.427 Au
0.427 0.073 0.750 Au



TbAlAu4 (GGA-PBE, optimized geometry); space group = C2/m, No. 12; theoretical density = 13.41 g/cm³; Fermi-level density of states = 4.02 states/eV per cell; E above lowest polymorph = 0.000 eV per atom; energy of formation = -0.533 eV/atom
1.0
6.095 0.492 1.797
2.705 5.484 1.797
-0.202 -0.137 7.432
Tb Al Au
2 2 8
Direct
0.766 0.766 0.819 Tb
0.234 0.234 0.181 Tb
0.561 0.561 0.255 Al
0.439 0.439 0.745 Al
0.787 0.787 0.200 Au
0.132 0.640 0.448 Au
0.250 0.750 0.000 Au
0.360 0.868 0.552 Au
0.213 0.213 0.800 Au
0.868 0.360 0.552 Au
0.750 0.250 0.000 Au
0.640 0.132 0.448 Au



Tb5AlAu4 (GGA-PBE, optimized geometry); space group = P4/mmm, No. 123; theoretical density = 11.30 g/cm³; Fermi-level density of states = 5.93 states/eV per cell; energy of formation = -0.756 eV/atom
1.0
3.598 0.000 0.000
0.000 3.598 0.000
0.000 0.000 18.268
Tb Al Au
5 1 4
Direct
0.500 0.500 0.102 Tb
0.500 0.500 0.300 Tb
0.500 0.500 0.500 Tb
0.500 0.500 0.700 Tb
0.500 0.500 0.898 Tb
0.000 0.000 0.000 Al
0.000 0.000 0.198 Au
0.000 0.000 0.401 Au
0.000 0.000 0.599 Au
0.000 0.000 0.802 Au